[1]
KW3Au | PBE | optimized geometry

The structure in CIF format:
```
data_KW3Au
_cell_length_a 5.010
_cell_length_b 5.010
_cell_length_c 5.010
_cell_angle_alpha 90.00
_cell_angle_beta 90.00
_cell_angle_gamma 90.00
_symmetry_space_group_name_H-M 'P 1'
_symmetry_Int_Tables_number 1
_symmetry_space_group_name_Hall 'P 1'
loop_
_atom_site_label
_atom_site_fract_x
_atom_site_fract_y
_atom_site_fract_z
W1 0.000 0.500 0.000
W2 0.500 0.000 0.000
W3 0.000 0.000 0.500
K1 0.500 0.500 0.500
Au1 0.000 0.000 0.000
```

---

[2]
KW2Au | PBE | optimized geometry

The structure in CIF format:
```
data_KW2Au
_cell_length_a 5.262
_cell_length_b 3.880
_cell_length_c 3.880
_cell_angle_alpha 90.00
_cell_angle_beta 90.00
_cell_angle_gamma 90.00
_symmetry_space_group_name_H-M 'P 1'
_symmetry_Int_Tables_number 1
_symmetry_space_group_name_Hall 'P 1'
loop_
_atom_site_label
_atom_site_fract_x
_atom_site_fract_y
_atom_site_fract_z
Au1 0.500 0.500 0.000
W1 0.000 0.000 0.000
W2 0.000 0.500 0.500
K1 0.500 0.000 0.500
```

---

[3]
K2WAu | PBE | optimized geometry

The structure in CIF format:
```
data_K2WAu
_cell_length_a 7.645
_cell_length_b 6.633
_cell_length_c 2.806
_cell_angle_alpha 100.76
_cell_angle_beta 46.30
_cell_angle_gamma 115.48
_symmetry_space_group_name_H-M 'P 1'
_symmetry_Int_Tables_number 1
_symmetry_space_group_name_Hall 'P 1'
loop_
_atom_site_label
_atom_site_fract_x
_atom_site_fract_y
_atom_site_fract_z
K1 0.500 0.000 0.500
Au1 0.500 0.500 0.000
K2 0.000 0.000 0.000
W1 0.000 0.500 0.500
```

---

[4]
KW2Au | PBE | optimized geometry

The structure in CIF format:
```
data_KW2Au
_cell_length_a 2.751
_cell_length_b 2.751
_cell_length_c 10.404
_cell_angle_alpha 90.00
_cell_angle_beta 90.00
_cell_angle_gamma 90.00
_symmetry_space_group_name_H-M 'P 1'
_symmetry_Int_Tables_number 1
_symmetry_space_group_name_Hall 'P 1'
loop_
_atom_site_label
_atom_site_fract_x
_atom_site_fract_y
_atom_site_fract_z
K1 0.500 0.500 0.738
Au1 0.000 0.000 0.465
W1 0.500 0.500 0.256
W2 0.000 0.000 0.041
```

---

[5]
KW2Au | PBE | optimized geometry

The structure in CIF format:
```
data_KW2Au
_cell_length_a 6.109
_cell_length_b 6.109
_cell_length_c 6.109
_cell_angle_alpha 151.18
_cell_angle_beta 124.56
_cell_angle_gamma 63.68
_symmetry_space_group_name_H-M 'P 1'
_symmetry_Int_Tables_number 1
_symmetry_space_group_name_Hall 'P 1'
loop_
_atom_site_label
_atom_site_fract_x
_atom_site_fract_y
_atom_site_fract_z
W1 0.770 0.270 0.500
W2 0.950 0.950 0.000
Au1 0.535 0.535 0.000
K1 0.246 0.746 0.500
```

---

[6]
K2WAu | PBE | optimized geometry

The structure in CIF format:
```
data_K2WAu
_cell_length_a 6.405
_cell_length_b 6.405
_cell_length_c 6.405
_cell_angle_alpha 141.74
_cell_angle_beta 141.74
_cell_angle_gamma 55.22
_symmetry_space_group_name_H-M 'P 1'
_symmetry_Int_Tables_number 1
_symmetry_space_group_name_Hall 'P 1'
loop_
_atom_site_label
_atom_site_fract_x
_atom_site_fract_y
_atom_site_fract_z
Au1 0.750 0.250 0.500
K1 0.500 0.500 0.000
W1 0.250 0.750 0.500
K2 0.000 0.000 0.000
```

---

[7]
KWAu | PBE | optimized geometry

The structure in CIF format:
```
data_KWAu
_cell_length_a 8.560
_cell_length_b 8.433
_cell_length_c 2.811
_cell_angle_alpha 83.05
_cell_angle_beta 77.92
_cell_angle_gamma 19.02
_symmetry_space_group_name_H-M 'P 1'
_symmetry_Int_Tables_number 1
_symmetry_space_group_name_Hall 'P 1'
loop_
_atom_site_label
_atom_site_fract_x
_atom_site_fract_y
_atom_site_fract_z
Au1 0.013 0.013 0.987
W1 0.650 0.650 0.350
K1 0.337 0.337 0.663
```

---

[8]
KW2Au | PBE | optimized geometry

The structure in CIF format:
```
data_KW2Au
_cell_length_a 4.689
_cell_length_b 4.689
_cell_length_c 4.689
_cell_angle_alpha 60.00
_cell_angle_beta 60.00
_cell_angle_gamma 60.00
_symmetry_space_group_name_H-M 'P 1'
_symmetry_Int_Tables_number 1
_symmetry_space_group_name_Hall 'P 1'
loop_
_atom_site_label
_atom_site_fract_x
_atom_site_fract_y
_atom_site_fract_z
Au1 0.500 0.500 0.500
W1 0.750 0.750 0.750
W2 0.250 0.250 0.250
K1 0.000 0.000 0.000
```

---

no.,ΔH_f (0 K) (meV/atom),total DFT energy (no corrections) (eV per atom),distance to the lowest polymorph of the same formula (kcal/mol of atoms)
1,2793.8,-5.853,0.000
2,1465.4,-6.105,19.489
3,1134.0,-3.472,8.500
4,759.3,-6.811,3.207
5,1173.9,-6.396,12.767
6,1263.6,-3.343,11.489
7,925.7,-4.850,7.564
8,1983.8,-5.586,31.445